No. 1
Material: Mn2AgAs2
Method: DFT, PBE
State: optimized geometry

Output
- Total moment: 0.767 μB/atom
- Electronic total energy: -6.048 eV/atom

```
Mn2AgAs2
1.0
-0.991 3.422 -1.742
1.524 -1.301 -3.422
-4.338 -0.932 -3.875
As Mn Ag
2 2 1
Cartesian
-0.846 0.579 -2.894 As
-2.960 0.609 -6.145 As
-2.531 1.775 -4.100 Mn
-1.274 -0.586 -4.940 Mn
0.000 0.000 0.000 Ag
```


No. 2
Material: HoGaPt2
Method: DFT, PBE
State: optimized geometry

Output
- Total moment: 0.000 μB/atom
- Electronic total energy: -5.787 eV/atom

```
HoGaPt2
1.0
-3.307 1.676 -0.212
-1.434 -3.177 -2.735
-1.415 -2.354 3.476
Ga Ho Pt
1 1 2
Cartesian
-1.654 0.838 -0.106 Ga
-3.078 -1.928 0.265 Ho
-0.708 -1.177 1.738 Pt
-0.717 -1.588 -1.367 Pt
```


No. 3
Material: Ta3AgOs
Method: DFT, PBE
State: optimized geometry

Output
- Total moment: 0.000 μB/atom
- Electronic total energy: -8.745 eV/atom

```
Ta3AgOs
1.0
4.846 0.000 0.000
0.000 4.846 0.000
0.000 0.000 4.846
Os Ag Ta
1 1 3
Cartesian
0.000 0.000 0.000 Os
2.423 2.423 2.423 Ag
0.000 2.423 0.000 Ta
0.000 0.000 2.423 Ta
2.423 0.000 0.000 Ta
```


No. 4
Material: TlFeAg2
Method: DFT, PBE
State: optimized geometry

Output
- Total moment: 0.782 μB/atom
- Electronic total energy: -3.654 eV/atom

```
TlFeAg2
1.0
3.240 -2.331 2.505
-0.120 -4.706 0.209
3.301 -2.541 -2.202
Tl Fe Ag
1 1 2
Cartesian
3.210 -4.789 0.256 Tl
0.000 0.000 0.000 Fe
1.605 -2.394 0.128 Ag
4.815 -7.183 0.384 Ag
```


No. 5
Material: KZr2Fe
Method: DFT, PBE
State: optimized geometry

Output
- Total moment: 0.579 μB/atom
- Electronic total energy: -5.676 eV/atom

```
KZr2Fe
1.0
-5.744 0.345 0.774
3.194 -3.728 4.120
0.267 1.742 2.272
Fe K Zr
1 1 2
Cartesian
1.730 -0.993 3.196 Fe
-1.275 -1.692 2.447 K
0.000 0.000 0.000 Zr
-2.739 1.043 1.523 Zr
```


No. 6
Material: Cr2CoP
Method: DFT, PBE
State: optimized geometry

Output
- Total moment: 0.001 μB/atom
- Electronic total energy: -8.101 eV/atom

```
Cr2CoP
1.0
-3.429 -2.588 -0.796
0.987 -4.123 1.054
0.380 3.751 2.207
Co Cr P
1 2 1
Cartesian
-2.135 -1.096 0.770 Co
0.000 0.000 0.000 Cr
0.073 -1.864 1.695 Cr
-1.221 -3.356 0.129 P
```


No. 7
Material: La2Co15Cu2
Method: DFT, PBE
State: optimized geometry

Output
- Total moment: 1.133 μB/atom
- Electronic total energy: -6.571 eV/atom

```
La2Co15Cu2
1.0
6.314 -0.052 0.767
0.674 6.278 0.767
-0.058 -0.052 6.360
La Co Cu
2 15 2
Cartesian
2.386 2.126 2.719 La
4.543 4.048 5.176 La
3.157 -0.026 0.384 Co
-0.029 -0.026 3.180 Co
0.337 3.139 0.384 Co
0.466 4.485 2.351 Co
4.716 1.741 0.767 Co
1.746 -0.052 4.776 Co
2.271 4.485 0.767 Co
4.509 -0.052 2.351 Co
0.149 1.741 4.776 Co
1.356 4.078 4.793 Co
4.577 4.078 1.967 Co
4.207 0.879 4.793 Co
5.573 2.096 3.102 Co
2.352 2.096 5.928 Co
2.722 5.295 3.102 Co
0.690 0.615 0.786 Cu
6.239 5.559 7.109 Cu
```


No. 8
Material: Tb4Nd2DyHo
Method: DFT, PBE
State: optimized geometry

Output
- Total moment: 0.000 μB/atom
- Electronic total energy: -4.639 eV/atom

```
Tb4Nd2DyHo
1.0
-5.493 5.822 -6.234
5.244 -3.505 -7.898
-5.856 -3.170 10.455
Tb Nd Dy Ho
8 4 2 2
Cartesian
-3.271 -4.362 2.968 Tb
-5.737 1.884 -1.442 Tb
-0.367 -2.737 -2.234 Tb
-2.833 3.508 -6.645 Tb
-0.187 1.740 -10.630 Tb
-3.138 0.147 -5.355 Tb
-2.966 -1.001 1.679 Tb
-5.917 -2.594 6.953 Tb
-2.746 2.911 -3.117 Nd
-5.674 1.326 2.111 Nd
-2.928 -1.585 5.228 Nd
-0.124 1.158 -7.066 Nd
-3.052 -0.427 -1.838 Dy
-11.348 2.652 4.222 Dy
2.622 -1.753 -3.949 Ho
-5.798 2.484 -4.955 Ho
```


no.,calculated volume (Å³/atom),energy relative to the elements (meV per atom)
1,16.294,50
2,18.224,-865
3,22.754,1183
4,18.494,479
5,23.214,988
6,11.291,-161
7,13.307,-11
8,32.530,15